Entry 1:
Nd2TlZn5 | PBE | optimized geometry

## Properties
* total magnetization: 0.00 μB per formula unit
* E_form: -2.53 eV per formula unit

Structure (POSCAR):
```
Nd2TlZn5
1.0
2.244 -8.335 0.000
2.244 8.335 0.000
0.000 0.000 9.130
Nd Tl Zn
4 2 10
direct
0.000 0.000 0.000 Nd
0.000 0.000 0.500 Nd
0.206 0.794 0.750 Nd
0.794 0.206 0.250 Nd
0.445 0.555 0.250 Tl
0.555 0.445 0.750 Tl
0.185 0.815 0.109 Zn
0.185 0.815 0.391 Zn
0.344 0.656 0.016 Zn
0.344 0.656 0.484 Zn
0.394 0.606 0.750 Zn
0.606 0.394 0.250 Zn
0.656 0.344 0.516 Zn
0.656 0.344 0.984 Zn
0.815 0.185 0.609 Zn
0.815 0.185 0.891 Zn
```



Entry 2:
CaRe2Au | PBE | optimized geometry

## Properties
* ΔE to the lowest computed polymorph: 0.505 eV per atom
* total magnetization: 0.00 μB per formula unit
* E_form: 2.66 eV per formula unit

Structure (POSCAR):
```
CaRe2Au
1.0
-1.926 1.926 4.907
1.926 -1.926 4.907
1.926 1.926 -4.907
Ca Re Au
1 2 1
direct
0.000 0.000 0.000 Ca
0.250 0.750 0.500 Re
0.750 0.250 0.500 Re
0.500 0.500 0.000 Au
```



Entry 3:
CaSmHo2Hg4 | PBE | optimized geometry

## Properties
* total magnetization: 0.00 μB per formula unit
* E_form: -4.01 eV per formula unit

Structure (POSCAR):
```
CaSmHo2Hg4
1.0
2.643 1.526 8.655
-2.643 1.526 8.655
0.000 -3.052 8.655
Ca Sm Ho Hg
1 1 2 4
direct
0.000 0.000 0.000 Ca
0.500 0.500 0.500 Sm
0.252 0.252 0.252 Ho
0.748 0.748 0.748 Ho
0.125 0.125 0.125 Hg
0.375 0.375 0.375 Hg
0.625 0.625 0.625 Hg
0.875 0.875 0.875 Hg
```



Entry 4:
Pa2TeSe2N2 | PBE | optimized geometry

## Properties
* energy relative to the elements, uncorrected: -7.706 eV/f.u.
* total magnetization: 0.00 μB per formula unit

Structure (POSCAR):
```
Pa2TeSe2N2
1.0
3.820 0.000 0.000
-1.910 3.309 0.000
0.000 0.000 13.197
Pa Te Se N
2 1 2 2
direct
0.333 0.667 0.285 Pa
0.667 0.333 0.715 Pa
0.000 0.000 0.500 Te
0.000 0.000 0.145 Se
0.000 0.000 0.855 Se
0.333 0.667 0.686 N
0.667 0.333 0.314 N
```